[1]
Density functional theory data (PBE) for a relaxed structure of YBiBr3.

Output
space-group type	Pm-3m, No. 221
uncorrected formation energy	-0.033	eV per atom

The structure in POSCAR format:
```
YBiBr3
1.0
5.843 0.000 0.000
0.000 5.843 0.000
0.000 0.000 5.843
Y Bi Br
1 1 3
Direct
0.000 0.000 0.000 Y
0.500 0.500 0.500 Bi
0.000 0.500 0.500 Br
0.500 0.000 0.500 Br
0.500 0.500 0.000 Br
```



[2]
Density functional theory data (PBE) for a relaxed structure of AlMoIr2.

Output
space-group type	Cmmm, No. 65
energy	-8.50	eV/atom

The structure in POSCAR format:
```
AlMoIr2
1.0
5.718 0.000 0.000
0.000 7.289 0.000
0.000 0.000 2.828
Al Mo Ir
2 2 4
Direct
0.000 0.000 0.000 Al
0.500 0.500 0.000 Al
0.000 0.500 0.000 Mo
0.500 0.000 0.000 Mo
0.250 0.250 0.500 Ir
0.250 0.750 0.500 Ir
0.750 0.250 0.500 Ir
0.750 0.750 0.500 Ir
```



[3]
Density functional theory data (PBE) for a relaxed structure of Tb2CuNi3.

Output
space-group type	Immm, No. 71
energy	-5.20	eV/atom

The structure in POSCAR format:
```
Tb2CuNi3
1.0
4.340 0.000 0.000
0.000 5.109 0.000
0.000 0.000 9.547
Tb Cu Ni
4 2 6
Direct
0.000 0.000 0.189 Tb
0.000 0.000 0.811 Tb
0.500 0.500 0.311 Tb
0.500 0.500 0.689 Tb
0.000 0.000 0.500 Cu
0.500 0.500 0.000 Cu
0.000 0.500 0.121 Ni
0.000 0.500 0.500 Ni
0.000 0.500 0.879 Ni
0.500 0.000 0.000 Ni
0.500 0.000 0.379 Ni
0.500 0.000 0.621 Ni
```



[4]
Density functional theory data (PBE) for a relaxed structure of SrVCr2Ge.

Output
space-group type	P4/mmm, No. 123
energy	-6.38	eV/atom

The structure in POSCAR format:
```
SrVCr2Ge
1.0
4.659 0.000 0.000
0.000 4.659 0.000
0.000 0.000 4.898
Sr V Cr Ge
1 1 2 1
Direct
0.000 0.000 0.000 Sr
0.500 0.500 0.500 V
0.000 0.500 0.500 Cr
0.500 0.000 0.500 Cr
0.500 0.500 0.000 Ge
```